Entry from the Alexandria database: ZrTa2Si2 at its PBEsol-relaxed geometry (SCAN).

Cell: 3.458 6.848 6.848 Å, 90.00 90.00 90.00°
Element x y z (fractional)
Si: 0.000 0.375 0.875
Si: 0.000 0.875 0.625
Si: 0.000 0.625 0.125
Si: 0.000 0.125 0.375
Zr: 0.000 0.000 0.000
Zr: 0.000 0.500 0.500
Ta: 0.500 0.170 0.670
Ta: 0.500 0.670 0.830
Ta: 0.500 0.830 0.330
Ta: 0.500 0.330 0.170

Calculated values
symmetry: P4/mbm, No. 127
total magnetic moment: 0.00 μB/cell
total DFT energy (no corrections): -2.749 Ry per atom
formation energy without anion corrections: -0.6214 eV per atom

=====

Entry from the Alexandria database: ZrTa2Si at its PBEsol-relaxed geometry (SCAN).

Cell: 2.924 2.924 9.731 Å, 81.36 81.36 60.00°
Element x y z (fractional)
Si: 0.000 0.000 0.000
Ta: 0.259 0.259 0.224
Ta: 0.741 0.741 0.776
Zr: 0.500 0.500 0.500

Calculated values
symmetry: R-3m, No. 166
total magnetic moment: 0.00 μB/cell
total DFT energy (no corrections): -3.184 Ry per atom
formation energy without anion corrections: 0.1524 eV per atom

=====

Entry from the Alexandria database: TbSi at its PBEsol-relaxed geometry (SCAN).

Cell: 3.809 5.666 7.858 Å, 90.00 90.00 90.00°
Element x y z (fractional)
Si: 0.750 0.372 0.037
Si: 0.250 0.872 0.463
Si: 0.250 0.628 0.963
Si: 0.750 0.128 0.537
Tb: 0.750 0.885 0.179
Tb: 0.250 0.385 0.321
Tb: 0.250 0.115 0.821
Tb: 0.750 0.615 0.679

Calculated values
symmetry: Pnma, No. 62
total magnetic moment: 0.00 μB/cell
total DFT energy (no corrections): -2.150 Ry per atom
formation energy without anion corrections: -0.8601 eV per atom

=====

Entry from the Alexandria database: TbSi2 at its PBEsol-relaxed geometry (SCAN).

Cell: 3.926 3.926 7.801 Å, 104.57 104.57 90.00°
Element x y z (fractional)
Si: 0.168 0.668 0.336
Si: 0.082 0.082 0.164
Si: 0.332 0.832 0.664
Si: 0.918 0.918 0.836
Tb: 0.750 0.250 0.500
Tb: 0.500 0.500 0.000

Calculated values
symmetry: I4_1/amd, No. 141
total magnetic moment: 0.00 μB/cell
total DFT energy (no corrections): -1.676 Ry per atom
formation energy without anion corrections: -0.5373 eV per atom

=====

Entry from the Alexandria database: Tb5Si4 at its PBEsol-relaxed geometry (SCAN).

Cell: 7.395 7.635 14.476 Å, 90.00 90.00 90.00°
Element x y z (fractional)
Si: 0.144 0.472 0.960
Si: 0.356 0.972 0.040
Si: 0.856 0.528 0.460
Si: 0.644 0.028 0.540
Si: 0.856 0.528 0.040
Si: 0.644 0.028 0.960
Si: 0.144 0.472 0.540
Si: 0.356 0.972 0.460
Si: 0.980 0.898 0.250
Si: 0.520 0.398 0.750
Si: 0.020 0.102 0.750
Si: 0.480 0.602 0.250
Si: 0.238 0.373 0.250
Si: 0.262 0.873 0.750
Si: 0.762 0.627 0.750
Si: 0.738 0.127 0.250
Tb: 0.183 0.680 0.123
Tb: 0.317 0.180 0.877
Tb: 0.817 0.320 0.623
Tb: 0.683 0.820 0.377
Tb: 0.817 0.320 0.877
Tb: 0.683 0.820 0.123
Tb: 0.183 0.680 0.377
Tb: 0.317 0.180 0.623
Tb: 0.031 0.184 0.099
Tb: 0.469 0.684 0.901
Tb: 0.969 0.816 0.599
Tb: 0.531 0.316 0.401
Tb: 0.969 0.816 0.901
Tb: 0.531 0.316 0.099
Tb: 0.031 0.184 0.401
Tb: 0.469 0.684 0.599
Tb: 0.354 0.011 0.250
Tb: 0.146 0.511 0.750
Tb: 0.646 0.989 0.750
Tb: 0.854 0.489 0.250

Calculated values
symmetry: Pnma, No. 62
total magnetic moment: 0.01 μB/cell
total DFT energy (no corrections): -2.294 Ry per atom
formation energy without anion corrections: -0.7770 eV per atom

=====

Entry from the Alexandria database: TbSi2 at its PBEsol-relaxed geometry (SCAN).

Cell: 3.870 4.079 4.079 Å, 120.00 90.00 90.00°
Element x y z (fractional)
Si: 0.500 0.667 0.333
Si: 0.500 0.333 0.667
Tb: 0.000 0.000 0.000

Calculated values
symmetry: P6/mmm, No. 191
total magnetic moment: 0.00 μB/cell
total DFT energy (no corrections): -1.674 Ry per atom
formation energy without anion corrections: -0.5143 eV per atom